1.
Density functional theory data (GGA-PBE) for an optimized crystal structure of RbNd4S6.

Properties
- Mass density: 4.61 Mg/m³
- Uncorrected formation energy: -1.625 eV per atom
- Magnetic moment: 0.00 μB per atom
- V: 27.967 A^3/atom
- Density of states at the Fermi level: 0.270 states/eV/atom
- Energy above the most stable polymorph in this dataset: 3.228 eV/f.u.

abc: 7.4414 7.4414 7.4414
angles: 97.80 115.60 115.60
Last column: nearest neighbours and their distance in Å.
Sites, in units of the cell vectors:
S1 0.5000 0.5000 0.0000  4 Nd 3.06
S2 0.0000 0.8270 0.5349  4 Nd 2.73-2.88
S3 0.7079 0.1730 0.1730  4 Nd 2.73-2.88
S4 0.2921 0.4651 0.4651  4 Nd 2.73-2.88
S5 0.0000 0.5349 0.8270  4 Nd 2.73-2.88
S6 0.5000 0.0000 0.5000  4 Nd 3.06
Nd1 0.0000 0.1974 0.5861  4 S 2.73-2.88
Nd2 0.0000 0.5861 0.1974  4 S 2.73-2.88
Nd3 0.3886 0.8026 0.8026  4 S 2.73-2.88
Nd4 0.6114 0.4139 0.4139  4 S 2.73-2.88
Rb1 0.0000 0.0000 0.0000  4 S 3.53, 4 Nd 3.59

---

2.
Density functional theory data (GGA-PBE) for an optimized crystal structure of RbNd6S8.

Properties
- Mass density: 3.77 Mg/m³
- Uncorrected formation energy: -1.776 eV per atom
- Magnetic moment: 0.00 μB per atom
- V: 35.481 A^3/atom
- Density of states at the Fermi level: 0.577 states/eV/atom

abc: 8.1316 8.1316 8.1316
angles: 94.59 94.59 94.59
Last column: nearest neighbours and their distance in Å.
Sites, in units of the cell vectors:
S1 0.6788 0.4136 0.1499  4 Nd 2.79-2.88
S2 0.4136 0.1499 0.6788  4 Nd 2.79-2.88
S3 0.1499 0.6788 0.4136  4 Nd 2.79-2.88
S4 0.3212 0.5864 0.8501  4 Nd 2.79-2.88
S5 0.2505 0.2505 0.2505  3 Nd 2.77
S6 0.7495 0.7495 0.7495  3 Nd 2.77
S7 0.5864 0.8501 0.3212  4 Nd 2.79-2.88
S8 0.8501 0.3212 0.5864  4 Nd 2.79-2.88
Nd1 0.8095 0.6255 0.4344  5 S 2.77-2.88
Nd2 0.3745 0.5656 0.1905  5 S 2.77-2.88
Nd3 0.6255 0.4344 0.8095  5 S 2.77-2.88
Nd4 0.5656 0.1905 0.3745  5 S 2.77-2.88
Nd5 0.1905 0.3745 0.5656  5 S 2.77-2.88
Nd6 0.4344 0.8095 0.6255  5 S 2.77-2.88
Rb1 0.0000 0.0000 0.0000  2 S 3.23

---

3.
Density functional theory data (GGA-PBE) for an optimized crystal structure of RbNd2S3.

Properties
- Mass density: 4.72 Mg/m³
- Uncorrected formation energy: -1.880 eV per atom
- Magnetic moment: 0.00 μB per atom
- V: 27.551 A^3/atom
- Density of states at the Fermi level: 0.330 states/eV/atom

abc: 4.1433 4.1433 22.2380
angles: 90.00 90.00 120.00
Last column: nearest neighbours and their distance in Å.
Sites, in units of the cell vectors:
Rb1 0.0000 0.0000 0.2500  6 S 3.34
Rb2 0.0000 0.0000 0.7500  6 S 3.34
S1 0.3333 0.6667 0.3551  3 Nd 2.85
S2 0.6667 0.3333 0.8551  3 Nd 2.85
S3 0.3333 0.6667 0.1449  3 Nd 2.85
S4 0.0000 0.0000 0.5000  6 Nd 2.92
S5 0.0000 0.0000 0.0000  6 Nd 2.92
S6 0.6667 0.3333 0.6449  3 Nd 2.85
Nd1 0.6667 0.3333 0.4244  6 S 2.85-2.92
Nd2 0.6667 0.3333 0.0756  6 S 2.85-2.92
Nd3 0.3333 0.6667 0.9244  6 S 2.85-2.92
Nd4 0.3333 0.6667 0.5756  6 S 2.85-2.92

---

4.
Density functional theory data (GGA-PBE) for an optimized crystal structure of Rb4Nd3SbS8.

Properties
- Mass density: 4.06 Mg/m³
- Uncorrected formation energy: -1.533 eV per atom
- Magnetic moment: 0.00 μB per atom
- V: 29.437 A^3/atom
- Density of states at the Fermi level: 0.000 states/eV/atom

abc: 8.4076 9.0982 8.4080
angles: 117.54 120.00 90.00
Last column: nearest neighbours and their distance in Å.
Sites, in units of the cell vectors:
S1 0.7707 0.3044 0.5413  1 Sb 2.82, 2 Nd 2.87
S2 0.2293 0.6956 0.9664  1 Sb 2.82, 2 Nd 2.87
S3 0.2672 0.3018 0.5345  3 Nd 2.87
S4 0.7328 0.6982 0.4655  3 Nd 2.87
S5 0.2629 0.3044 0.0336  1 Sb 2.82, 2 Nd 2.87
S6 0.7371 0.6956 0.9664  1 Sb 2.82, 2 Nd 2.87
S7 0.2293 0.6956 0.4587  1 Sb 2.82, 2 Nd 2.87
S8 0.7707 0.3044 0.0336  1 Sb 2.82, 2 Nd 2.87
Rb1 0.5000 0.0000 0.5000  6 S 3.36
Rb2 0.0000 0.0000 0.5000  6 S 3.36
Rb3 0.0000 0.0000 0.0000  6 S 3.36
Rb4 0.5000 0.0000 0.0000  6 S 3.40
Sb1 0.0000 0.5000 0.0000  6 S 2.82
Nd1 0.5000 0.5000 0.0000  6 S 2.87
Nd2 0.0000 0.5000 0.5000  6 S 2.87
Nd3 0.5000 0.5000 0.5000  6 S 2.87

---

5.
Density functional theory data (GGA-PBE) for an optimized crystal structure of Rb3Nd3SbS8.

Properties
- Mass density: 3.80 Mg/m³
- Uncorrected formation energy: -1.480 eV per atom
- Magnetic moment: 0.00 μB per atom
- V: 31.106 A^3/atom
- Density of states at the Fermi level: 0.154 states/eV/atom

abc: 8.2843 8.2858 9.1935
angles: 116.80 89.99 120.01
Last column: nearest neighbours and their distance in Å.
Sites, in units of the cell vectors:
S1 0.2679 0.5358 0.3038  3 Nd 2.84
S2 0.7810 0.0316 0.3128  1 Sb 2.68, 2 Nd 2.87
S3 0.2190 0.4380 0.6872  1 Sb 2.68, 2 Nd 2.87
S4 0.2506 0.0316 0.3129  1 Sb 2.68, 2 Nd 2.87
S5 0.7494 0.9684 0.6871  1 Sb 2.68, 2 Nd 2.87
S6 0.7810 0.5620 0.3128  1 Sb 2.68, 2 Nd 2.87
S7 0.2190 0.9684 0.6872  1 Sb 2.68, 2 Nd 2.87
S8 0.7321 0.4642 0.6962  3 Nd 2.84
Rb1 0.0000 0.5000 0.0000  6 S 3.38
Rb2 0.0000 0.0000 0.0000  6 S 3.38
Rb3 0.5000 0.5000 0.0000  6 S 3.38
Sb1 0.0000 0.0000 0.5000  6 S 2.68
Nd1 0.0000 0.5000 0.5000  6 S 2.84-2.87
Nd2 0.5000 0.5000 0.5000  6 S 2.84-2.87
Nd3 0.5000 0.0000 0.5000  6 S 2.84-2.87

---

6.
Density functional theory data (GGA-PBE) for an optimized crystal structure of Rb4Nd3ScS8.

Properties
- Mass density: 3.90 Mg/m³
- Uncorrected formation energy: -1.777 eV per atom
- Magnetic moment: 0.00 μB per atom
- V: 28.601 A^3/atom
- Density of states at the Fermi level: 0.000 states/eV/atom

abc: 8.2822 9.0671 8.2822
angles: 117.18 120.00 90.00
Last column: nearest neighbours and their distance in Å.
Sites, in units of the cell vectors:
S1 0.7786 0.3088 0.5572  1 Sc 2.70, 2 Nd 2.87
S2 0.2666 0.2999 0.5332  3 Nd 2.84
S3 0.7484 0.6912 0.9699  1 Sc 2.70, 2 Nd 2.87
S4 0.2214 0.6912 0.4428  1 Sc 2.70, 2 Nd 2.87
S5 0.7786 0.3088 0.0301  1 Sc 2.70, 2 Nd 2.87
S6 0.2516 0.3088 0.0301  1 Sc 2.70, 2 Nd 2.87
S7 0.7334 0.7001 0.4668  3 Nd 2.84
S8 0.2214 0.6912 0.9699  1 Sc 2.70, 2 Nd 2.87
Nd1 0.5000 0.5000 0.0000  6 S 2.84-2.87
Nd2 0.0000 0.5000 0.5000  6 S 2.84-2.87
Nd3 0.5000 0.5000 0.5000  6 S 2.84-2.87
Rb1 0.5000 0.0000 0.5000  6 S 3.32-3.33
Rb2 0.0000 0.0000 0.5000  6 S 3.32-3.33
Rb3 0.0000 0.0000 0.0000  6 S 3.32-3.33
Rb4 0.5000 0.0000 0.0000  6 S 3.47
Sc1 0.0000 0.5000 0.0000  6 S 2.70

---

- The lowest mass density belongs to which entry?
  RbNd6S8